Ba4DyCu3O9 | PBE | optimized geometry

- Raw formation energy: -2.0171 eV/atom
- Spin magnetization: 0.002 μB per formula unit

a b c (Å): 8.161 8.161 8.161
angles (deg): 90.00 90.00 90.00
Atoms (fractional coordinates):
O 0.000 0.727 0.000
Cu 0.500 0.500 0.000
Dy 0.500 0.500 0.500
Cu 0.000 0.500 0.500
O 0.000 0.000 0.273
O 0.500 0.250 0.000
Dy 0.000 0.000 0.000
O 0.000 0.273 0.000
Ba 0.750 0.250 0.250
Cu 0.500 0.000 0.500
O 0.500 0.750 0.000
Cu 0.500 0.000 0.000
Ba 0.750 0.750 0.250
O 0.773 0.500 0.500
O 0.250 0.000 0.500
O 0.000 0.500 0.750
O 0.000 0.000 0.727
Ba 0.750 0.750 0.750
Ba 0.750 0.250 0.750
O 0.500 0.773 0.500
Cu 0.000 0.000 0.500
O 0.500 0.500 0.227
O 0.500 0.500 0.773
O 0.000 0.500 0.250
O 0.727 0.000 0.000
Ba 0.250 0.750 0.250
Ba 0.250 0.250 0.750
O 0.273 0.000 0.000
Ba 0.250 0.750 0.750
Ba 0.250 0.250 0.250
O 0.500 0.227 0.500
O 0.750 0.000 0.500
O 0.227 0.500 0.500
Cu 0.000 0.500 0.000